Density functional theory data (GGA-PBE) for a geometry-optimized Er3PuRu3 structure.

Cell: 9.2788 9.8576 6.8016 Å, 90.00 90.81 90.00°
With the nearest neighbours (Å) after each atom.
Space group C2/m (No. 12)
Inequivalent atoms, fractional coordinates:
Er1 0.0000 0.1881 0.0000 x4  6 Ru 2.78-2.92
Er2 0.0000 0.2563 0.5000 x4  6 Ru 2.87-3.00
Er3 0.2447 0.0000 0.6184 x4  4 Ru 2.79-2.85
Pu1 0.1691 0.5000 0.8722 x4  2 Ru 2.48
Ru1 0.0536 0.0000 0.2971 x4  6 Er 2.78-2.92, 1 Pu 2.83, 3 Ru 2.95-2.96
Ru2 0.2447 0.2718 0.7625 x8  1 Pu 2.48

## Properties
The calculation puts the energy relative to the lowest polymorph listed for this composition at 0.013 eV/atom. The value obtained for the mass density is 11.201 Mg/m³. As for the density of states at the Fermi level: 42.3 states/eV/cell. As for the total energy: -8.225 eV/atom. Its total moment is 17.20 Bohr magnetons per cell.